# 1
## RbBaSBr (PBE-GGA)

Data for a geometry-optimized RbBaSBr structure.

Properties
The formation energy (no corrections) is -1.8133 eV/atom. For the density of states at the Fermi level, the calculation gives 0.00 states/eV per cell. The calculation puts the size of the total moment at 0.09 μB per formula unit.

a b c (Å): 4.6687 4.6687 24.6971
angles (deg): 90.00 90.00 120.00
Space group R3m (No. 160, hexagonal axes)
Inequivalent atoms, fractional coordinates:
Rb: 0.0000 0.0000 0.0000 x3
Ba: 0.0000 0.0000 0.8111 x3
S: 0.0000 0.0000 0.4175 x3
Br: 0.0000 0.0000 0.2327 x3

# 2
## NpMn2CN (PBE-GGA)

Data for a geometry-optimized NpMn2CN structure.

Properties
The formation energy (no corrections) is -0.3304 eV/atom. For the density of states at the Fermi level, the calculation gives 27.71 states/eV per cell. The calculation puts the size of the total moment at 3.53 μB per formula unit.

a b c (Å): 3.318 10.104 6.533
angles (deg): 90.00 90.00 90.00
Space group Cmcm (No. 63)
Inequivalent atoms, fractional coordinates:
Np: 0.000 0.042 0.250 x4
Mn: 0.000 0.315 0.065 x8
C: 0.000 0.240 0.750 x4
N: 0.000 0.500 0.000 x4

# 3
## CrSiTe (PBE-GGA)

Data for a geometry-optimized CrSiTe structure.

Properties
The formation energy (no corrections) is 0.3290 eV/atom. For the density of states at the Fermi level, the calculation gives 11.55 states/eV per cell. The calculation puts the size of the total moment at 2.55 μB per formula unit. For the relative energy among the computed polymorphs, the calculation gives 51 meV per atom.

a b c (Å): 6.210 6.210 6.210
angles (deg): 90.00 90.00 90.00
Space group F-43m (No. 216)
Inequivalent atoms, fractional coordinates:
Cr: 0.000 0.000 0.000 x4
Si: 0.250 0.250 0.750 x4
Te: 0.250 0.250 0.250 x4

# 4
## Pr6SnP3S2 (PBE-GGA)

Data for a geometry-optimized Pr6SnP3S2 structure.

Properties
The formation energy (no corrections) is -1.5598 eV/atom. For the density of states at the Fermi level, the calculation gives 5.75 states/eV per cell. The calculation puts the size of the total moment at 0.00 μB per formula unit.

a b c (Å): 18.510 4.205 8.538
angles (deg): 90.00 103.41 90.00
Space group C2/m (No. 12)
Inequivalent atoms, fractional coordinates:
Pr: 0.001 0.000 0.268 x4
Pr: 0.165 0.500 0.589 x4
Pr: 0.173 0.500 0.083 x4
Sn: 0.000 0.500 0.000 x2
P: 0.000 0.500 0.500 x2
P: 0.166 0.000 0.831 x4
S: 0.170 0.000 0.339 x4

# 5
## NdHoTlPt (PBE-GGA)

Data for a geometry-optimized NdHoTlPt structure.

Properties
The formation energy is -0.6405 eV per atom. For the density of states at the Fermi level, the calculation gives 15.73 states/eV per cell. The calculation puts the size of the total moment at 0.00 μB per formula unit.

a b c (Å): 7.392 7.392 7.392
angles (deg): 90.00 90.00 90.00
Space group F-43m (No. 216)
Inequivalent atoms, fractional coordinates:
Nd: 0.000 0.000 0.000 x4
Ho: 0.000 0.000 0.500 x4
Tl: 0.250 0.250 0.750 x4
Pt: 0.250 0.250 0.250 x4

# 6
## PICl (PBE-GGA)

Data for a geometry-optimized PICl structure.

Properties
The formation energy (no corrections) is -0.3055 eV/atom. For the density of states at the Fermi level, the calculation gives 0.00 states/eV per cell. The calculation puts the size of the total moment at 0.00 μB per formula unit. For the relative energy among the computed polymorphs, the calculation gives 0 meV per atom.

a b c (Å): 5.914 7.131 7.136
angles (deg): 101.08 102.60 103.44
Space group P-1 (No. 2)
Inequivalent atoms, fractional coordinates:
P: 0.022 0.367 0.059 x2
I: 0.130 0.871 0.276 x2
Cl: 0.285 0.672 0.841 x2

# 7
## ZnRe2Br (PBE-GGA)

Data for a geometry-optimized ZnRe2Br structure.

Properties
The formation energy (no corrections) is 1.3512 eV/atom. For the density of states at the Fermi level, the calculation gives 10.82 states/eV per cell. The calculation puts the size of the total moment at 0.00 μB per formula unit. For the relative energy among the computed polymorphs, the calculation gives 1082 meV per atom.

a b c (Å): 5.370 8.504 2.855
angles (deg): 90.00 90.00 90.00
Space group Cmmm (No. 65)
Inequivalent atoms, fractional coordinates:
Zn: 0.000 0.000 0.000 x2
Re: 0.250 0.250 0.500 x4
Br: 0.000 0.500 0.000 x2

# 8
## Y2TlCdH (PBE-GGA)

Data for a geometry-optimized Y2TlCdH structure.

Properties
For the density of states at the Fermi level, the calculation gives 2.83 states/eV per cell. The calculation puts the size of the total moment at 0.96 μB per formula unit. As for the calculated total energy: -4.21 eV per atom.

a b c (Å): 4.809 4.809 4.596
angles (deg): 90.00 90.00 90.00
Space group P4/mmm (No. 123)
Inequivalent atoms, fractional coordinates:
Y: 0.000 0.500 0.000 x2
Tl: 0.000 0.000 0.500 x1
Cd: 0.500 0.500 0.500 x1
H: 0.500 0.500 0.000 x1

# 9
## CdSiRu2 (PBE-GGA)

Data for a geometry-optimized CdSiRu2 structure.

Properties
The formation energy (no corrections) is 0.1400 eV/atom. For the density of states at the Fermi level, the calculation gives 9.39 states/eV per cell. The calculation puts the size of the total moment at 0.00 μB per formula unit.

a b c (Å): 2.978 4.312 9.490
angles (deg): 90.00 90.00 90.00
Space group Imm2 (No. 44)
Inequivalent atoms, fractional coordinates:
Cd: 0.000 0.000 0.000 x2
Si: 0.000 0.500 0.245 x2
Ru: 0.000 0.000 0.548 x2
Ru: 0.000 0.500 0.789 x2

# 10
## Hf2AlGaCl (PBE-GGA)

Data for a geometry-optimized Hf2AlGaCl structure.

Properties
The formation energy (no corrections) is 0.7408 eV/atom. For the density of states at the Fermi level, the calculation gives 6.63 states/eV per cell. The calculation puts the size of the total moment at 0.00 μB per formula unit.

a b c (Å): 5.167 5.167 4.519
angles (deg): 90.00 90.00 90.00
Space group P4/mmm (No. 123)
Inequivalent atoms, fractional coordinates:
Hf: 0.000 0.500 0.000 x2
Al: 0.000 0.000 0.000 x1
Ga: 0.000 0.000 0.500 x1
Cl: 0.500 0.500 0.500 x1

# 11
## Cs2TiSiCl6 (PBE-GGA)

Data for a geometry-optimized Cs2TiSiCl6 structure.

Properties
The formation energy (no corrections) is -1.3653 eV/atom. For the density of states at the Fermi level, the calculation gives 5.76 states/eV per cell. The calculation puts the size of the total moment at 2.00 μB per formula unit.

a b c (Å): 7.193 7.193 11.652
angles (deg): 90.00 90.00 90.00
Space group I4/mmm (No. 139)
Inequivalent atoms, fractional coordinates:
Cs: 0.000 0.500 0.250 x4
Ti: 0.000 0.000 0.000 x2
Si: 0.000 0.000 0.500 x2
Cl: 0.000 0.000 0.209 x4
Cl: 0.247 0.247 0.000 x8

# 12
## BeZn2Cl (PBE-GGA)

Data for a geometry-optimized BeZn2Cl structure.

Properties
The formation energy (no corrections) is 0.2178 eV/atom. For the density of states at the Fermi level, the calculation gives 6.33 states/eV per cell. The calculation puts the size of the total moment at 0.00 μB per formula unit. For the relative energy among the computed polymorphs, the calculation gives 310 meV per atom.

a b c (Å): 6.076 6.076 9.384
angles (deg): 90.00 90.00 90.00
Space group I-42d (No. 122)
Inequivalent atoms, fractional coordinates:
Be: 0.000 0.000 0.000 x4
Zn: 0.206 0.250 0.125 x8
Cl: 0.000 0.000 0.500 x4

# 13
## La3Pm3Pr (PBE-GGA)

Data for a geometry-optimized La3Pm3Pr structure.

Properties
The formation energy is 0.1178 eV per atom. For the density of states at the Fermi level, the calculation gives 57.48 states/eV per cell. The calculation puts the size of the total moment at 0.00 μB per formula unit. For the relative energy among the computed polymorphs, the calculation gives 83 meV per atom.

a b c (Å): 9.6539 9.6539 19.1461
angles (deg): 90.00 90.00 120.00
Space group R-3 (No. 148, hexagonal axes)
Inequivalent atoms, fractional coordinates:
La: 0.0482 0.2400 0.0772 x18
Pm: 0.0485 0.2361 0.2591 x18
Pr: 0.0000 0.0000 0.4092 x6